(1)
# YCr2Rh

A geometry-optimized YCr2Rh structure (PBEsol, Alexandria via LeMat-Bulk).

Geometry as POSCAR:
```
YCr2Rh
1.0
2.7420 0.0000 0.0000
-1.3710 2.3747 0.0000
0.0000 0.0000 27.6830
Y Cr Rh
3 6 3
direct
0.0000 0.0000 0.0000
0.3333 0.6667 0.6667
0.6667 0.3333 0.3333
0.0000 0.0000 0.2396
0.0000 0.0000 0.7604
0.3333 0.6667 0.4270
0.3333 0.6667 0.9063
0.6667 0.3333 0.0937
0.6667 0.3333 0.5730
0.0000 0.0000 0.5000
0.3333 0.6667 0.1667
0.6667 0.3333 0.8333
```

Calculated values
DOS at the Fermi energy   6.07 states/eV/f.u.
VASP energy   -8.137 eV/atom
Energy of formation from the pure elements   0.72 eV/atom
Symmetry   R-3m (166)

***

(2)
# Sb2WAu

A geometry-optimized Sb2WAu structure (PBEsol, Alexandria via LeMat-Bulk).

Geometry as POSCAR:
```
Sb2WAu
1.0
6.1931 0.0000 0.0000
0.0000 9.2242 0.0000
-1.5715 0.0000 2.8087
Sb W Au
4 2 2
direct
0.2500 0.2500 0.0000
0.2500 0.7500 0.0000
0.7500 0.2500 0.0000
0.7500 0.7500 0.0000
0.0000 0.0000 0.5000
0.5000 0.5000 0.5000
0.0000 0.5000 0.5000
0.5000 0.0000 0.5000
```

Calculated values
DOS at the Fermi energy   3.14 states/eV/f.u.
VASP energy   -5.988 eV/atom
Energy relative to the elements, uncorrected   0.723 eV per atom
Symmetry   C2/m (12)

***

(3)
# AlCr2Sb

A geometry-optimized AlCr2Sb structure (PBEsol, Alexandria via LeMat-Bulk).

Geometry as POSCAR:
```
AlCr2Sb
1.0
3.8295 0.0000 0.0000
0.0000 3.8295 0.0000
0.0000 0.0000 17.8449
Al Cr Sb
4 8 4
direct
0.0000 0.0000 0.0000
0.0000 0.5000 0.2500
0.5000 0.0000 0.7500
0.5000 0.5000 0.5000
0.1687 0.2500 0.1250
0.2500 0.6687 0.3750
0.2500 0.8313 0.8750
0.3313 0.2500 0.6250
0.6687 0.7500 0.6250
0.7500 0.1687 0.8750
0.7500 0.3313 0.3750
0.8313 0.7500 0.1250
0.0000 0.0000 0.5000
0.0000 0.5000 0.7500
0.5000 0.0000 0.2500
0.5000 0.5000 0.0000
```

Calculated values
DOS at the Fermi energy   2.80 states/eV/f.u.
VASP energy   -6.686 eV/atom
Energy relative to the elements, uncorrected   0.597 eV per atom
Symmetry   I-42d (122)